No. 1
DFT (PBE) results for a geometry-optimized YErTl2Se4 structure.

Cell and atoms, written as CIF:
```
data_YErTl2Se4
_symmetry_space_group_name_H-M 'P 1 2/m 1'
_symmetry_Int_Tables_number 10
_symmetry_space_group_name_Hall '-P 2y'
_cell_length_a 7.226
_cell_length_b 4.171
_cell_length_c 8.138
_cell_angle_alpha 90.00
_cell_angle_beta 107.20
_cell_angle_gamma 90.00
loop_
_atom_site_label
_atom_site_fract_x
_atom_site_fract_y
_atom_site_fract_z
_atom_site_occupancy
Y1 0.000 0.000 0.000 1
Er1 0.500 0.500 0.000 1
Tl1 0.000 0.500 0.500 1
Tl2 0.500 0.000 0.500 1
Se1 0.237 0.500 0.204 1
Se2 0.268 0.000 0.797 1
```

Summary:
- raw formation energy (eV per atom) = -1.39

=====

No. 2
DFT (PBE) results for a geometry-optimized Y3ErTl3Se8 structure.

Cell and atoms, written as CIF:
```
data_Y3ErTl3Se8
_symmetry_space_group_name_H-M 'R -3 m'
_symmetry_Int_Tables_number 166
_symmetry_space_group_name_Hall '-R 3 2"'
_cell_length_a 8.3192
_cell_length_b 8.3192
_cell_length_c 22.9468
_cell_angle_alpha 90.00
_cell_angle_beta 90.00
_cell_angle_gamma 120.00
loop_
_atom_site_label
_atom_site_fract_x
_atom_site_fract_y
_atom_site_fract_z
_atom_site_occupancy
Y1 0.0000 0.5000 0.0000 1
Er1 0.0000 0.0000 0.0000 1
Tl1 0.0000 0.5000 0.5000 1
Se1 0.0000 0.0000 0.2639 1
Se2 0.0022 0.5011 0.7353 1
```

Summary:
- raw formation energy (eV per atom) = -1.40